# 1
This record from Alexandria via LeMat-Bulk describes a relaxed structure of Cr2FeIr. The functional is PBE-GGA.

The structure belongs to space group Pmm2 (No. 25); the cell edges are 2.627, 4.141 and 4.496 Å and the angles 90.00°, 90.00° and 90.00°. The inequivalent atoms are Cr at (0.000, 0.000, 0.000), Cr at (0.000, 0.500, 0.335), Fe at (0.500, 0.500, 0.862) and Ir at (0.500, 0.000, 0.504).

The distance to the lowest polymorph of the same formula comes out at 25 meV per atom. The value obtained for the density of states at the Fermi level is 5.51 states/eV/cell. For the formation energy, the calculation gives -0.028 eV per atom.


# 2
This record from Alexandria via LeMat-Bulk describes a relaxed structure of Cr2FeIr. The functional is PBE-GGA.

The structure belongs to space group I-4m2 (No. 119); the cell edges are 3.691, 3.691 and 7.273 Å and the angles 90.00°, 90.00° and 90.00°. The inequivalent atoms are Cr at (0.000, 0.000, 0.000), Cr at (0.000, 0.500, 0.250), Fe at (0.000, 0.500, 0.750) and Ir at (0.000, 0.000, 0.500).

The distance to the lowest polymorph of the same formula comes out at 34 meV per atom. The value obtained for the density of states at the Fermi level is 10.07 states/eV/cell. For the formation energy, the calculation gives -0.019 eV per atom.


# 3
This record from Alexandria via LeMat-Bulk describes a relaxed structure of CrFeIr. The functional is PBE-GGA.

The structure belongs to space group Imm2 (No. 44); the cell edges are 2.653, 3.643 and 7.885 Å and the angles 90.00°, 90.00° and 90.00°. The inequivalent atoms are Cr at (0.000, 0.000, 0.000), Fe at (0.000, 0.000, 0.665) and Ir at (0.000, 0.000, 0.335).

The distance to the lowest polymorph of the same formula comes out at 6 meV per atom. The value obtained for the density of states at the Fermi level is 6.85 states/eV/cell. For the formation energy, the calculation gives -0.066 eV per atom.


# 4
This record from Alexandria via LeMat-Bulk describes a relaxed structure of Cr2FeIr. The functional is PBE-GGA.

The structure belongs to space group Imm2 (No. 44); the cell edges are 2.875, 4.242 and 8.248 Å and the angles 90.00°, 90.00° and 90.00°. The inequivalent atoms are Cr at (0.000, 0.000, 0.000), Cr at (0.000, 0.500, 0.284), Fe at (0.000, 0.500, 0.749) and Ir at (0.000, 0.000, 0.520).

The distance to the lowest polymorph of the same formula comes out at 119 meV per atom. The value obtained for the density of states at the Fermi level is 9.35 states/eV/cell. For the formation energy, the calculation gives 0.066 eV per atom.


# 5
This record from Alexandria via LeMat-Bulk describes a relaxed structure of Cr5FeIr6. The functional is PBE-GGA.

The structure belongs to space group Immm (No. 71); the cell edges are 3.800, 7.373 and 11.375 Å and the angles 90.00°, 90.00° and 90.00°. The inequivalent atoms are Cr at (0.000, 0.000, 0.000), Cr at (0.000, 0.000, 0.331), Cr at (0.000, 0.500, 0.336), Fe at (0.000, 0.500, 0.000), Ir at (0.000, 0.250, 0.167) and Ir at (0.000, 0.250, 0.500).

The value obtained for the density of states at the Fermi level is 23.88 states/eV/cell. For the formation energy, the calculation gives -0.183 eV per atom.


# 6
This record from Alexandria via LeMat-Bulk describes a relaxed structure of Cr2FeIr. The functional is PBE-GGA.

The structure belongs to space group Pmmm (No. 47); the cell edges are 3.646, 3.657 and 3.688 Å and the angles 90.00°, 90.00° and 90.00°. The inequivalent atoms are Cr at (0.000, 0.000, 0.000), Cr at (0.500, 0.500, 0.000), Fe at (0.000, 0.500, 0.500) and Ir at (0.500, 0.000, 0.500).

The distance to the lowest polymorph of the same formula comes out at 1 meV per atom. The value obtained for the density of states at the Fermi level is 4.32 states/eV/cell. For the formation energy, the calculation gives -0.052 eV per atom.